{"formula": "KTbCr2O8", "functional": "PBE with a Hubbard U", "state": "relaxed", "polymorph_energy_ev_per_atom": 0.000, "lattice": [[5.798, 0.000, 0.000], [0.000, 9.317, 0.000], [0.000, 0.000, 13.849]], "species": ["K", "K", "K", "K", "Tb", "Tb", "Tb", "Tb", "Cr", "Cr", "Cr", "Cr", "Cr", "Cr", "Cr", "Cr", "O", "O", "O", "O", "O", "O", "O", "O", "O", "O", "O", "O", "O", "O", "O", "O", "O", "O", "O", "O", "O", "O", "O", "O", "O", "O", "O", "O", "O", "O", "O", "O"], "frac_coords": [[0.707, 0.108, 0.594], [0.793, 0.892, 0.094], [0.293, 0.608, 0.906], [0.207, 0.392, 0.406], [0.221, 0.048, 0.857], [0.721, 0.452, 0.143], [0.279, 0.952, 0.357], [0.779, 0.548, 0.643], [0.730, 0.146, 0.338], [0.270, 0.646, 0.162], [0.275, 0.820, 0.617], [0.725, 0.320, 0.883], [0.230, 0.354, 0.662], [0.770, 0.854, 0.838], [0.225, 0.180, 0.117], [0.775, 0.680, 0.383], [0.486, 0.701, 0.606], [0.979, 0.238, 0.890], [0.014, 0.299, 0.106], [0.259, 0.199, 0.720], [0.798, 0.557, 0.469], [0.986, 0.799, 0.394], [0.166, 0.490, 0.734], [0.298, 0.943, 0.531], [0.802, 0.602, 0.275], [0.334, 0.510, 0.234], [0.759, 0.301, 0.280], [0.666, 0.010, 0.266], [0.202, 0.057, 0.031], [0.500, 0.653, 0.088], [0.032, 0.611, 0.097], [0.698, 0.398, 0.775], [0.021, 0.738, 0.610], [0.521, 0.762, 0.390], [0.500, 0.153, 0.412], [0.198, 0.102, 0.225], [0.000, 0.347, 0.588], [0.514, 0.201, 0.894], [0.702, 0.443, 0.969], [0.741, 0.699, 0.780], [0.968, 0.111, 0.403], [0.000, 0.847, 0.912], [0.302, 0.898, 0.725], [0.468, 0.389, 0.597], [0.241, 0.801, 0.220], [0.834, 0.990, 0.766], [0.479, 0.262, 0.110], [0.532, 0.889, 0.903]]}